Material: Ac2FeCu2O6
Method: DFT, PBE+U
State: relaxed

Properties
SG: R-3m, No. 166
Raw total energy (eV per atom): -6.546
Magnetic moment (Bohr magnetons per cell): 3.9
Calculated volume (Å³/atom): 14.0

a b c (Å): 6.162 6.162 6.162
angles (deg): 57.06 57.06 57.06
Fractional coordinates of all 11 atoms:
Ac  0.219  0.219  0.219
Ac  0.781  0.781  0.781
Fe  0.000  0.000  0.000
Cu  0.418  0.418  0.418
Cu  0.582  0.582  0.582
O  0.210  0.764  0.764
O  0.236  0.236  0.790
O  0.236  0.790  0.236
O  0.764  0.210  0.764
O  0.764  0.764  0.210
O  0.790  0.236  0.236